3
Lattice="-2.752 -1.412 3.034 1.447 -0.918 3.979 -1.051 2.562 3.332" Properties=species:S:1:pos:R:3 comment="ZrRuRh | Alexandria via LeMat-Bulk | GGA-PBE | relaxed" formation_energy_ev_per_fu=0.5 de_polymorph_mev_per_atom=412 pbc="T T T"
Rh 0.000 0.000 0.000
Ru -1.178 0.116 5.172
Zr -1.767 0.174 7.758


6
Lattice="0.000 3.629 3.629 3.629 0.000 3.629 3.629 3.629 0.000" Properties=species:S:1:pos:R:3 comment="ZrRuRh4 | Alexandria via LeMat-Bulk | GGA-PBE | relaxed" formation_energy_ev_per_fu=-0.5 pbc="T T T"
Zr 0.000 0.000 0.000
Ru 5.443 5.443 5.443
Rh 2.725 4.532 4.532
Rh 4.532 4.532 2.725
Rh 4.532 2.725 4.532
Rh 2.725 2.725 2.725


10
Lattice="-2.440 -0.673 -2.104 -0.517 -2.874 1.519 -10.777 7.311 10.162" Properties=species:S:1:pos:R:3 comment="Zr5RuRh4 | Alexandria via LeMat-Bulk | GGA-PBE | relaxed" formation_energy_ev_per_fu=-7.4 pbc="T T T"
Zr -2.548 -1.048 0.716
Zr -4.711 0.420 2.756
Zr -6.867 1.882 4.789
Zr -9.023 3.344 6.822
Zr -11.187 4.812 8.862
Ru 0.000 0.000 0.000
Rh -2.143 1.453 2.020
Rh -4.305 2.920 4.060
Rh -6.472 4.390 6.103
Rh -8.635 5.857 8.142


4
Lattice="4.871 0.003 -0.004 3.987 2.799 -0.004 0.909 0.288 4.642" Properties=species:S:1:pos:R:3 comment="ZrRuRh2 | Alexandria via LeMat-Bulk | GGA-PBE | relaxed" formation_energy_ev_per_fu=-1.2 pbc="T T T"
Rh 0.940 0.297 4.574
Rh 4.852 1.535 2.386
Ru 7.325 2.318 3.476
Zr 2.442 0.773 1.159


4
Lattice="2.961 0.000 0.000 0.000 4.678 0.000 0.000 3.386 4.542" Properties=species:S:1:pos:R:3 comment="ZrRuRh2 | Alexandria via LeMat-Bulk | GGA-PBE | relaxed" formation_energy_ev_per_fu=-1.3 pbc="T T T"
Rh 0.000 0.000 0.000
Rh 1.481 2.339 0.000
Ru 1.481 4.032 2.271
Zr 0.000 1.693 2.271


5
Lattice="4.643 0.000 0.000 0.000 4.643 0.000 0.000 0.000 4.643" Properties=species:S:1:pos:R:3 comment="ZrRuRh3 | Alexandria via LeMat-Bulk | GGA-PBE | relaxed" formation_energy_ev_per_fu=4.5 de_polymorph_mev_per_atom=0 pbc="T T T"
Ru 0.000 0.000 0.000
Rh 0.000 2.321 0.000
Rh 0.000 0.000 2.321
Rh 2.321 0.000 0.000
Zr 2.321 2.321 2.321


10
Lattice="3.284 0.000 0.000 0.000 3.284 0.000 0.000 0.000 16.375" Properties=species:S:1:pos:R:3 comment="Zr5Ru4Rh | Alexandria via LeMat-Bulk | GGA-PBE | relaxed" formation_energy_ev_per_fu=-6.7 pbc="T T T"
Zr 1.642 1.642 1.651
Zr 1.642 1.642 4.918
Zr 1.642 1.642 8.188
Zr 1.642 1.642 11.457
Zr 1.642 1.642 14.724
Ru 0.000 0.000 3.271
Ru 0.000 0.000 6.550
Ru 0.000 0.000 9.825
Ru 0.000 0.000 13.104
Rh 0.000 0.000 0.000


12
Lattice="4.463 0.019 -1.303 -0.901 5.766 -3.003 -0.084 0.426 8.016" Properties=species:S:1:pos:R:3 comment="Zr6Ru5Rh | Alexandria via LeMat-Bulk | GGA-PBE | relaxed" formation_energy_ev_per_fu=-7.9 pbc="T T T"
Ru 2.797 1.115 1.303
Ru 1.132 2.214 3.912
Ru -0.450 2.883 -1.501
Ru 2.346 3.997 -0.201
Ru 0.681 5.096 2.408
Rh 0.000 0.000 0.000
Zr 3.137 3.653 2.503
Zr 3.585 0.782 3.998
Zr 1.558 4.322 -2.897
Zr 2.004 1.464 -1.408
Zr -0.107 5.429 -0.287
Zr 0.342 2.558 1.208


3
Lattice="-4.559 -1.422 2.166 -2.588 -4.515 -0.649 4.710 2.058 1.037" Properties=species:S:1:pos:R:3 comment="ZrRuRh | Alexandria via LeMat-Bulk | GGA-PBE | relaxed" formation_energy_ev_per_fu=-0.7 de_polymorph_mev_per_atom=0 pbc="T T T"
Rh -0.046 -0.038 0.010
Ru -2.325 -1.931 0.493
Zr -4.777 -3.967 1.014


10
Lattice="6.940 0.000 0.000 0.000 6.940 0.000 0.000 0.000 3.696" Properties=species:S:1:pos:R:3 comment="Zr2Ru2Rh | Alexandria via LeMat-Bulk | GGA-PBE | relaxed" formation_energy_ev_per_fu=-1.6 pbc="T T T"
Ru 2.588 6.059 0.000
Ru 6.059 4.352 0.000
Ru 4.352 0.882 0.000
Ru 0.882 2.588 0.000
Rh 0.000 0.000 0.000
Rh 3.470 3.470 0.000
Zr 1.263 4.733 1.848
Zr 4.733 5.677 1.848
Zr 5.677 2.207 1.848
Zr 2.207 1.263 1.848


4
Lattice="-3.924 -3.867 1.922 5.726 0.166 1.110 2.697 5.159 0.385" Properties=species:S:1:pos:R:3 comment="Zr2RuRh | Alexandria via LeMat-Bulk | GGA-PBE | relaxed" formation_energy_ev_per_fu=1.0 pbc="T T T"
Zr 2.092 1.323 0.371
Zr 6.331 4.003 1.123
Ru 0.000 0.000 0.000
Rh 4.212 2.663 0.747


4
Lattice="9.296 -0.013 -0.008 8.870 2.781 -0.008 8.870 1.352 2.431" Properties=species:S:1:pos:R:3 comment="ZrRuRh2 | Alexandria via LeMat-Bulk | GGA-PBE | relaxed" formation_energy_ev_per_fu=0.0 pbc="T T T"
Rh 26.889 4.097 2.402
Rh 13.667 2.082 1.221
Ru 6.759 1.030 0.604
Zr 20.278 3.090 1.812


8
Lattice="6.054 0.758 0.000 2.220 5.661 0.000 1.110 2.831 5.380" Properties=species:S:1:pos:R:3 comment="Zr6RuRh | Alexandria via LeMat-Bulk | GGA-PBE | relaxed" formation_energy_ev_per_fu=-0.1 de_polymorph_mev_per_atom=344 pbc="T T T"
Zr 6.188 4.804 3.190
Zr 5.077 1.973 2.190
Zr 4.307 7.277 3.190
Zr 3.197 4.446 2.190
Zr 6.204 4.810 0.000
Zr 2.070 1.609 0.000
Ru 4.137 3.210 0.000
Rh 0.000 0.000 0.000


4
Lattice="8.362 -0.003 -0.002 7.737 3.173 -0.002 7.737 1.523 2.784" Properties=species:S:1:pos:R:3 comment="Zr2RuRh | Alexandria via LeMat-Bulk | GGA-PBE | relaxed" formation_energy_ev_per_fu=-1.3 pbc="T T T"
Rh 5.959 1.173 0.695
Ru 17.876 3.520 2.085
Zr 0.026 0.005 0.003
Zr 11.891 2.342 1.387


8
Lattice="-2.491 -3.295 -4.272 5.029 0.286 -3.153 3.200 -6.384 -1.075" Properties=species:S:1:pos:R:3 comment="Zr2RuRh | Alexandria via LeMat-Bulk | GGA-PBE | relaxed" formation_energy_ev_per_fu=2.4 pbc="T T T"
Ru 1.269 -1.504 -3.713
Ru 4.749 -3.801 -3.970
Rh 0.000 0.000 0.000
Rh 0.989 -5.592 -4.530
Zr -0.113 -3.599 -3.307
Zr 3.616 -1.849 -2.800
Zr 3.383 -5.914 -3.610
Zr 4.590 -7.422 -7.284


4
Lattice="9.364 -0.003 -0.002 8.941 2.785 -0.002 8.941 1.359 2.431" Properties=species:S:1:pos:R:3 comment="ZrRuRh2 | Alexandria via LeMat-Bulk | GGA-PBE | relaxed" formation_energy_ev_per_fu=0.2 pbc="T T T"
Rh 27.142 4.124 2.418
Rh 6.775 1.029 0.604
Ru 13.793 2.096 1.229
Zr 20.403 3.100 1.817


6
Lattice="3.286 0.000 0.000 0.000 3.286 0.000 0.000 0.000 9.842" Properties=species:S:1:pos:R:3 comment="Zr3Ru2Rh | Alexandria via LeMat-Bulk | GGA-PBE | relaxed" formation_energy_ev_per_fu=-4.1 pbc="T T T"
Zr 0.000 0.000 0.000
Zr 0.000 0.000 6.574
Zr 0.000 0.000 3.268
Ru 1.643 1.643 8.198
Ru 1.643 1.643 1.645
Rh 1.643 1.643 4.921


3
Lattice="6.374 0.024 -0.025 5.720 2.811 0.015 0.654 0.111 2.785" Properties=species:S:1:pos:R:3 comment="ZrRuRh | Alexandria via LeMat-Bulk | GGA-PBE | relaxed" formation_energy_ev_per_fu=-0.5 de_polymorph_mev_per_atom=73 pbc="T T T"
Rh 11.960 2.803 0.023
Ru 4.598 1.050 1.821
Zr 8.284 1.928 0.921


10
Lattice="-7.249 -1.945 -0.424 1.962 -7.251 -0.287 -0.125 -0.144 2.793" Properties=species:S:1:pos:R:3 comment="ZrRu2Rh2 | Alexandria via LeMat-Bulk | GGA-PBE | relaxed" formation_energy_ev_per_fu=-0.5 de_polymorph_mev_per_atom=0 pbc="T T T"
Ru -1.028 -7.120 -0.414
Ru -5.163 -6.207 -0.552
Ru -4.259 -2.076 -0.298
Ru -0.124 -2.989 -0.160
Rh -0.017 -5.326 1.127
Rh -3.356 -7.356 0.873
Rh -5.394 -4.014 0.954
Rh -2.056 -1.984 1.209
Zr 0.000 0.000 0.000
Zr -2.644 -4.598 -0.356


4
Lattice="-4.198 0.742 1.476 -1.857 4.087 -0.442 -3.348 0.649 -2.953" Properties=species:S:1:pos:R:3 comment="ZrRuRh2 | Alexandria via LeMat-Bulk | GGA-PBE | relaxed" formation_energy_ev_per_fu=-0.7 pbc="T T T"
Ru -4.702 2.739 -0.960
Rh -2.351 1.370 -0.480
Rh -7.052 4.109 -1.440
Zr 0.000 0.000 0.000


4
Lattice="4.618 0.000 0.000 2.309 3.999 0.000 2.309 1.333 3.770" Properties=species:S:1:pos:R:3 comment="Zr2RuRh | Alexandria via LeMat-Bulk | GGA-PBE | relaxed" formation_energy_ev_per_fu=-0.9 pbc="T T T"
Rh 4.618 2.666 1.885
Ru 6.927 3.999 2.828
Zr 0.000 0.000 0.000
Zr 2.309 1.333 0.943


4
Lattice="5.520 -0.012 0.000 2.813 4.750 0.000 -4.167 -2.369 2.739" Properties=species:S:1:pos:R:3 comment="Zr2RuRh | Alexandria via LeMat-Bulk | GGA-PBE | relaxed" formation_energy_ev_per_fu=-1.9 pbc="T T T"
Rh 4.167 2.369 0.000
Ru 2.760 -0.006 1.369
Zr 0.000 0.000 0.000
Zr 1.407 2.375 1.369


4
Lattice="-4.374 0.895 -0.335 -0.610 -2.792 0.505 -0.180 0.900 4.752" Properties=species:S:1:pos:R:3 comment="ZrRuRh2 | Alexandria via LeMat-Bulk | GGA-PBE | relaxed" formation_energy_ev_per_fu=-1.4 pbc="T T T"
Rh -0.248 0.511 4.603
Rh -2.319 0.378 1.369
Ru -0.459 -1.356 2.372
Zr -2.713 -0.576 3.958


10
Lattice="7.150 0.000 0.000 0.000 7.150 0.000 0.000 0.000 3.460" Properties=species:S:1:pos:R:3 comment="Zr2RuRh2 | Alexandria via LeMat-Bulk | GGA-PBE | relaxed" formation_energy_ev_per_fu=-2.3 pbc="T T T"
Ru 0.000 0.000 0.000
Ru 3.575 3.575 0.000
Rh 2.661 6.236 0.000
Rh 6.236 4.489 0.000
Rh 4.489 0.914 0.000
Rh 0.914 2.661 0.000
Zr 1.277 4.852 1.730
Zr 4.852 5.872 1.730
Zr 5.872 2.297 1.730
Zr 2.297 1.277 1.730


3
Lattice="-1.102 -3.956 -1.807 1.107 0.253 4.340 -2.735 0.456 0.671" Properties=species:S:1:pos:R:3 comment="ZrRuRh | Alexandria via LeMat-Bulk | GGA-PBE | relaxed" formation_energy_ev_per_fu=-0.4 de_polymorph_mev_per_atom=88 pbc="T T T"
Rh -2.583 0.430 0.634
Ru -1.445 -2.373 0.507
Zr -1.436 -0.849 2.735


4
Lattice="3.288 0.000 0.000 0.000 3.308 0.008 0.000 3.297 6.549" Properties=species:S:1:pos:R:3 comment="Zr2RuRh | Alexandria via LeMat-Bulk | GGA-PBE | relaxed" formation_energy_ev_per_fu=-2.8 pbc="T T T"
Ru 1.644 4.953 4.918
Rh 1.644 1.651 1.639
Zr 0.000 3.300 6.541
Zr 0.000 3.299 3.287


20
Lattice="4.755 0.000 0.000 0.000 7.739 -2.430 0.000 0.189 10.035" Properties=species:S:1:pos:R:3 comment="Zr6RuRh3 | Alexandria via LeMat-Bulk | GGA-PBE | relaxed" formation_energy_ev_per_fu=-5.5 pbc="T T T"
Zr 1.189 3.563 -0.126
Zr 3.566 4.365 7.732
Zr 1.189 1.207 1.634
Zr 3.566 6.721 5.971
Zr 1.189 5.110 5.389
Zr 3.566 2.818 2.217
Zr 1.189 1.994 4.464
Zr 3.566 5.934 3.141
Zr 1.189 6.625 1.009
Zr 3.566 1.303 6.597
Zr 1.189 0.615 8.819
Zr 3.566 7.313 -1.213
Ru 1.189 7.467 3.700
Ru 3.566 0.462 3.905
Rh 1.189 4.354 2.656
Rh 3.566 3.574 4.950
Rh 1.189 2.883 7.180
Rh 3.566 5.045 0.426
Rh 1.189 5.972 8.161
Rh 3.566 1.956 -0.556